Compound: Mg2Ni
Source: OQMD
Functional: PBE
Structure: relaxed

The structure in CIF format:
```
data_Mg2Ni
_chemical_formula_sum 'Mg16 Ni8'
_cell_length_a 7.1902
_cell_length_b 4.5842
_cell_length_c 12.5329
_cell_angle_alpha 90.00
_cell_angle_beta 101.74
_cell_angle_gamma 90.00
_symmetry_space_group_name_H-M 'P 1 21/m 1'
_symmetry_Int_Tables_number 11
loop_
_symmetry_equiv_pos_as_xyz
'x,y,z'
'-x,-y,-z'
'-x,y+1/2,-z'
'x,-y+1/2,z'
loop_
_atom_site_label
_atom_site_type_symbol
_atom_site_fract_x
_atom_site_fract_y
_atom_site_fract_z
Mg1 Mg 0.0078 0.2500 0.3092
Mg2 Mg 0.0191 0.7500 0.9234
Mg3 Mg 0.0707 0.2500 0.5604
Mg4 Mg 0.1576 0.2500 0.8053
Mg5 Mg 0.2648 0.7500 0.3503
Mg6 Mg 0.3355 0.7500 0.1432
Mg7 Mg 0.3764 0.2500 0.0133
Mg8 Mg 0.3901 0.2500 0.4742
Ni1 Ni 0.2973 0.7500 0.5985
Ni2 Ni 0.3433 0.7500 0.8180
Ni3 Ni 0.3757 0.2500 0.2599
Ni4 Ni 0.4037 0.2500 0.6858
```

***

Compound: MgNi3
Source: OQMD
Functional: PBE
Structure: relaxed

The structure in CIF format:
```
data_MgNi3
_chemical_formula_sum 'Mg9 Ni27'
_cell_length_a 4.7516
_cell_length_b 4.7516
_cell_length_c 23.5154
_cell_angle_alpha 90.00
_cell_angle_beta 90.00
_cell_angle_gamma 120.00
_symmetry_space_group_name_H-M 'R -3 m'
_symmetry_Int_Tables_number 166
_symmetry_space_group_name_Hall '-R 3 2"'
loop_
_atom_site_label
_atom_site_type_symbol
_atom_site_fract_x
_atom_site_fract_y
_atom_site_fract_z
Mg1 Mg 0.0000 0.0000 0.0000
Mg2 Mg 0.0000 0.0000 0.1413
Ni1 Ni 0.0000 0.0000 0.3335
Ni2 Ni 0.0000 0.0000 0.5000
Ni3 Ni 0.0027 0.5013 0.9158
```

***

Compound: Mg2NpNi9
Source: OQMD
Functional: PBE
Structure: relaxed

The structure in CIF format:
```
data_Mg2NpNi9
_chemical_formula_sum 'Mg6 Np3 Ni27'
_cell_length_a 4.7802
_cell_length_b 4.7802
_cell_length_c 23.6117
_cell_angle_alpha 90.00
_cell_angle_beta 90.00
_cell_angle_gamma 120.00
_symmetry_space_group_name_H-M 'R -3 m'
_symmetry_Int_Tables_number 166
_symmetry_space_group_name_Hall '-R 3 2"'
loop_
_atom_site_label
_atom_site_type_symbol
_atom_site_fract_x
_atom_site_fract_y
_atom_site_fract_z
Mg1 Mg 0.0000 0.0000 0.1444
Np1 Np 0.0000 0.0000 0.0000
Ni1 Ni 0.0000 0.0000 0.3336
Ni2 Ni 0.0000 0.0000 0.5000
Ni3 Ni 0.0018 0.5009 0.9157
```

***

Compound: MgNiSbOs
Source: OQMD
Functional: PBE
Structure: relaxed

The structure in CIF format:
```
data_MgNiSbOs
_chemical_formula_sum 'Mg4 Ni4 Sb4 Os4'
_cell_length_a 6.3427
_cell_length_b 6.3427
_cell_length_c 6.3427
_cell_angle_alpha 90.00
_cell_angle_beta 90.00
_cell_angle_gamma 90.00
_symmetry_space_group_name_H-M 'F -4 3 m'
_symmetry_Int_Tables_number 216
_symmetry_space_group_name_Hall 'F -4 2 3'
loop_
_atom_site_label
_atom_site_type_symbol
_atom_site_fract_x
_atom_site_fract_y
_atom_site_fract_z
Mg1 Mg 0.0000 0.0000 0.0000
Ni1 Ni 0.0000 0.0000 0.5000
Sb1 Sb 0.2500 0.2500 0.2500
Os1 Os 0.2500 0.2500 0.7500
```

***

Compound: MgTlNiOs
Source: OQMD
Functional: PBE
Structure: relaxed

The structure in CIF format:
```
data_MgTlNiOs
_chemical_formula_sum 'Mg4 Tl4 Ni4 Os4'
_cell_length_a 6.3264
_cell_length_b 6.3264
_cell_length_c 6.3264
_cell_angle_alpha 90.00
_cell_angle_beta 90.00
_cell_angle_gamma 90.00
_symmetry_space_group_name_H-M 'F -4 3 m'
_symmetry_Int_Tables_number 216
_symmetry_space_group_name_Hall 'F -4 2 3'
loop_
_atom_site_label
_atom_site_type_symbol
_atom_site_fract_x
_atom_site_fract_y
_atom_site_fract_z
Mg1 Mg 0.0000 0.0000 0.0000
Tl1 Tl 0.2500 0.2500 0.2500
Ni1 Ni 0.0000 0.0000 0.5000
Os1 Os 0.2500 0.2500 0.7500
```

***

Compound: Mg2Ni12P7
Source: OQMD
Functional: PBE
Structure: relaxed

The structure in CIF format:
```
data_Mg2Ni12P7
_chemical_formula_sum 'Mg2 Ni12 P7'
_cell_length_a 9.0293
_cell_length_b 9.0293
_cell_length_c 3.5668
_cell_angle_alpha 90.00
_cell_angle_beta 90.00
_cell_angle_gamma 120.00
_symmetry_space_group_name_H-M 'P -6'
_symmetry_Int_Tables_number 174
loop_
_symmetry_equiv_pos_as_xyz
'x,y,z'
'-x+y,-x,-z'
'-y,x-y,z'
'x,y,-z'
'-x+y,-x,z'
'-y,x-y,-z'
loop_
_atom_site_label
_atom_site_type_symbol
_atom_site_fract_x
_atom_site_fract_y
_atom_site_fract_z
Mg1 Mg 0.0000 0.0000 0.0000
Mg2 Mg 0.3333 0.6667 0.5000
Ni1 Ni 0.0393 0.7720 0.5000
Ni2 Ni 0.1027 0.3887 0.0000
Ni3 Ni 0.4521 0.2397 0.0000
Ni4 Ni 0.5118 0.0552 0.5000
P1 P 0.0767 0.6280 0.0000
P2 P 0.2549 0.0400 0.5000
P3 P 0.6667 0.3333 0.5000
```

***

Compound: Rb2MgNiP2
Source: OQMD
Functional: PBE
Structure: relaxed

The structure in CIF format:
```
data_Rb2MgNiP2
_chemical_formula_sum 'Rb2 Mg1 Ni1 P2'
_cell_length_a 4.3501
_cell_length_b 4.3501
_cell_length_c 7.9019
_cell_angle_alpha 90.00
_cell_angle_beta 90.00
_cell_angle_gamma 90.00
_symmetry_space_group_name_H-M 'P -4 m 2'
_symmetry_Int_Tables_number 115
loop_
_symmetry_equiv_pos_as_xyz
'x,y,z'
'y,-x,-z'
'-x,-y,z'
'-y,x,-z'
'-x,y,z'
'-y,-x,-z'
'x,-y,z'
'y,x,-z'
loop_
_atom_site_label
_atom_site_type_symbol
_atom_site_fract_x
_atom_site_fract_y
_atom_site_fract_z
Rb1 Rb 0.0000 0.5000 0.1602
Mg1 Mg 0.0000 0.0000 0.5000
Ni1 Ni 0.5000 0.5000 0.5000
P1 P 0.0000 0.5000 0.6502
```

***

Compound: Mg3PaNi8
Source: OQMD
Functional: PBE
Structure: relaxed

The structure in CIF format:
```
data_Mg3PaNi8
_chemical_formula_sum 'Mg9 Pa3 Ni24'
_cell_length_a 4.8653
_cell_length_b 4.8653
_cell_length_c 23.8992
_cell_angle_alpha 90.00
_cell_angle_beta 90.00
_cell_angle_gamma 120.00
_symmetry_space_group_name_H-M 'R 3 m'
_symmetry_Int_Tables_number 160
_symmetry_space_group_name_Hall 'R 3 -2"'
loop_
_atom_site_label
_atom_site_type_symbol
_atom_site_fract_x
_atom_site_fract_y
_atom_site_fract_z
Mg1 Mg 0.0000 0.0000 0.0000
Mg2 Mg 0.0000 0.0000 0.1188
Mg3 Mg 0.0000 0.0000 0.4836
Pa1 Pa 0.0000 0.0000 0.6139
Ni1 Ni 0.0000 0.0000 0.3026
Ni2 Ni 0.0000 0.0000 0.8020
Ni3 Ni 0.0004 0.5002 0.0520
Ni4 Ni 0.0028 0.5014 0.5523
```

***

Compound: Mg2Ni3Pb2
Source: OQMD
Functional: PBE
Structure: relaxed

The structure in CIF format:
```
data_Mg2Ni3Pb2
_chemical_formula_sum 'Mg6 Ni9 Pb6'
_cell_length_a 4.4186
_cell_length_b 4.4186
_cell_length_c 21.4006
_cell_angle_alpha 90.00
_cell_angle_beta 90.00
_cell_angle_gamma 120.00
_symmetry_space_group_name_H-M 'R 3 m'
_symmetry_Int_Tables_number 160
_symmetry_space_group_name_Hall 'R 3 -2"'
loop_
_atom_site_label
_atom_site_type_symbol
_atom_site_fract_x
_atom_site_fract_y
_atom_site_fract_z
Mg1 Mg 0.0000 0.0000 0.0000
Mg2 Mg 0.0000 0.0000 0.4921
Ni1 Ni 0.0000 0.0000 0.3664
Ni2 Ni 0.0000 0.0000 0.6208
Ni3 Ni 0.0000 0.0000 0.8752
Pb1 Pb 0.0000 0.0000 0.2417
Pb2 Pb 0.0000 0.0000 0.7486
```

***

Compound: Mg6NiPb2
Source: OQMD
Functional: PBE
Structure: relaxed

The structure in CIF format:
```
data_Mg6NiPb2
_chemical_formula_sum 'Mg6 Ni1 Pb2'
_cell_length_a 8.0111
_cell_length_b 8.0111
_cell_length_c 3.6256
_cell_angle_alpha 90.00
_cell_angle_beta 90.00
_cell_angle_gamma 120.00
_symmetry_space_group_name_H-M 'P -6 2 m'
_symmetry_Int_Tables_number 189
_symmetry_space_group_name_Hall 'P -6 -2'
loop_
_atom_site_label
_atom_site_type_symbol
_atom_site_fract_x
_atom_site_fract_y
_atom_site_fract_z
Mg1 Mg 0.0000 0.3549 0.0000
Mg2 Mg 0.0000 0.7640 0.5000
Ni1 Ni 0.0000 0.0000 0.0000
Pb1 Pb 0.3333 0.6667 0.5000
```

***

Compound: MgScNiPb
Source: OQMD
Functional: PBE
Structure: relaxed

The structure in CIF format:
```
data_MgScNiPb
_chemical_formula_sum 'Mg4 Sc4 Ni4 Pb4'
_cell_length_a 6.7688
_cell_length_b 6.7688
_cell_length_c 6.7688
_cell_angle_alpha 90.00
_cell_angle_beta 90.00
_cell_angle_gamma 90.00
_symmetry_space_group_name_H-M 'F -4 3 m'
_symmetry_Int_Tables_number 216
_symmetry_space_group_name_Hall 'F -4 2 3'
loop_
_atom_site_label
_atom_site_type_symbol
_atom_site_fract_x
_atom_site_fract_y
_atom_site_fract_z
Mg1 Mg 0.0000 0.0000 0.0000
Sc1 Sc 0.0000 0.0000 0.5000
Ni1 Ni 0.2500 0.2500 0.7500
Pb1 Pb 0.2500 0.2500 0.2500
```

***

Compound: MgScNiPb
Source: OQMD
Functional: PBE
Structure: relaxed

The structure in CIF format:
```
data_MgScNiPb
_chemical_formula_sum 'Mg4 Sc4 Ni4 Pb4'
_cell_length_a 6.7183
_cell_length_b 6.7183
_cell_length_c 6.7183
_cell_angle_alpha 90.00
_cell_angle_beta 90.00
_cell_angle_gamma 90.00
_symmetry_space_group_name_H-M 'F -4 3 m'
_symmetry_Int_Tables_number 216
_symmetry_space_group_name_Hall 'F -4 2 3'
loop_
_atom_site_label
_atom_site_type_symbol
_atom_site_fract_x
_atom_site_fract_y
_atom_site_fract_z
Mg1 Mg 0.0000 0.0000 0.0000
Sc1 Sc 0.2500 0.2500 0.7500
Ni1 Ni 0.0000 0.0000 0.5000
Pb1 Pb 0.2500 0.2500 0.2500
```

***

For the records above, the corresponding E values read -68.67, -169.15, -203.35, -81.98, -73.82, -119.47, -21.87, -187.79, -83.29, -23.23, -71.30, -69.96 eV for the cell shown.
For the records above, the corresponding density values read 3.5, 6.5, 8.7, 10.3, 12.5, 6.4, 3.5, 7.9, 8.8, 5.1, 7.2, 7.3 g/cm³.